Entry from Alexandria: a relaxed NaVF3 crystal (PBE with a Hubbard U).

Results
**Energy relative to the lowest polymorph listed for this composition**: 0 meV per atom
**Total moment**: 3.00 μB/f.u.
**Uncorrected energy**: -111.883 eV/cell

Cell and atoms, written as CIF:
```
data_NaVF3
_chemical_formula_sum 'Na4 V4 F12'
_symmetry_space_group_name_H-M 'P n m a'
_symmetry_Int_Tables_number 62
_cell_length_a 5.787
_cell_length_b 8.018
_cell_length_c 5.576
_cell_angle_alpha 90.00
_cell_angle_beta 90.00
_cell_angle_gamma 90.00
loop_
_symmetry_equiv_pos_as_xyz
'x,y,z'
'-x,-y,-z'
'-x+1/2,-y,z+1/2'
'x+1/2,y,-z+1/2'
'x+1/2,-y+1/2,-z+1/2'
'-x+1/2,y+1/2,z+1/2'
'-x,y+1/2,-z'
'x,-y+1/2,z'
loop_
_atom_site_label
_atom_site_fract_x
_atom_site_fract_y
_atom_site_fract_z
_atom_site_occupancy
Na1 0.057 0.250 0.015 1
V1 0.000 0.000 0.500 1
F1 0.051 0.750 0.383 1
F2 0.196 0.562 0.808 1
```